The following is a PBE calculation of a relaxed structure of TaMn2V2S6, from Alexandria via LeMat-Bulk.

abc: 5.9263 5.9263 6.3482
angles: 97.94 97.94 121.03
Positions (direct):
Ta 0.0000 0.0000 0.0000
Mn 0.1627 0.8373 0.5000
Mn 0.8373 0.1627 0.5000
V 0.3596 0.6404 0.0000
V 0.6404 0.3596 0.0000
S 0.0625 0.4148 0.2300
S 0.2620 0.2620 0.7378
S 0.4148 0.0625 0.2300
S 0.5852 0.9375 0.7700
S 0.7380 0.7380 0.2622
S 0.9375 0.5852 0.7700

Summary:
Formation energy (no corrections) ... -717 meV/atom
E ... -81.078 eV for the cell shown
Crystal system ... monoclinic
Fermi-level density of states ... 0.4864 states/eV per atom
Volume ... 16.67 A^3/atom
Space-group type ... C2/m, No. 12
Size of the total moment ... 11.2 μB/cell